LaSc2Rh | Alexandria | GGA-PBE | optimized geometry; ΔE_f = -89 kJ/mol of formula units; final energy = -25.86 eV per cell; V = 23.052 Å³ per atom; DOS at the Fermi energy = 4.0 states/eV/f.u.
1.0
4.207 0.000 0.000
0.000 4.207 0.000
0.000 0.000 5.211
La Sc Rh
1 2 1
Direct
0.000 0.000 0.000
0.000 0.500 0.500
0.500 0.000 0.500
0.500 0.500 0.000